No. 1
Here is a relaxed Ac2O2F5 crystal from Alexandria. Energies are from GGA-PBE.

```
Ac2O2F5
1.0
-2.458 3.828 -1.273
-4.165 -2.062 -0.850
-4.779 -2.413 6.951
Ac O F
2 2 5
Direct
0.876 0.970 0.265
0.124 0.030 0.735
0.418 0.408 0.982
0.582 0.592 0.018
0.042 0.647 0.612
0.958 0.353 0.388
0.409 0.896 0.335
0.591 0.104 0.665
0.000 0.000 0.000
```

Output
Raw formation energy, eV per atom: -3.35


No. 2
Here is a relaxed AcO2F crystal from Alexandria. Energies are from GGA-PBE.

```
AcO2F
1.0
4.110 0.000 0.000
2.055 3.559 0.000
2.055 1.186 5.508
Ac O F
1 2 1
Direct
0.500 0.500 0.500
0.113 0.113 0.662
0.887 0.887 0.338
0.000 0.000 0.000
```

Output
Raw formation energy, eV per atom: -2.00
Distance to the lowest polymorph of the same formula, meV/atom: 574


No. 3
Here is a relaxed AcO2F6 crystal from Alexandria. Energies are from GGA-PBE.

```
AcO2F6
1.0
-1.410 4.249 0.794
-7.422 -2.304 0.511
3.900 0.289 6.735
Ac O F
2 4 12
Direct
0.250 0.884 0.116
0.750 0.116 0.884
0.259 0.404 0.452
0.241 0.548 0.596
0.741 0.596 0.548
0.759 0.452 0.404
0.603 0.374 0.752
0.897 0.248 0.626
0.397 0.626 0.248
0.103 0.752 0.374
0.732 0.871 0.540
0.768 0.460 0.129
0.268 0.129 0.460
0.232 0.540 0.871
0.260 0.202 0.082
0.240 0.918 0.798
0.740 0.798 0.918
0.760 0.082 0.202
```

Output
Raw formation energy, eV per atom: -1.73


- Look up the raw formation energy of the second one.
  -2.00 eV per atom


- Which of these has the highest raw formation energy?
  AcO2F6


- raw formation energy of number 1 (Ac2O2F5)?
  -3.35 eV per atom